Entry 1:
This record from Alexandria via LeMat-Bulk describes Cs2ZnF3 after structural relaxation. The functional is PBE-GGA.

spin magnetization	0.00	Bohr magnetons per cell
N(E_F)	6.18	states/eV/cell
mass density	4.568	g cm⁻³
formation energy from raw total energies	-12.4	eV per formula unit
uncorrected energy	-3.505	eV/atom

Cell lengths 12.3846, 6.1814, 7.7514 Å; angles 90.00, 107.96, 90.00 degrees
Closest atoms and distances in Å follow each position.
Space group C2/c (No. 15)
One atom of each set of equivalent atoms:
Cs 0.1662 0.0033 0.0839  6 F 2.93-3.12
Zn 0.0000 0.4933 0.7500  1 F 2.03
F 0.0000 0.1648 0.7500  1 Zn 2.03
F 0.1300 0.4974 0.5653  2 Zn 2.46-2.48

Entry 2:
This record from Alexandria via LeMat-Bulk describes CsAgOF2 after structural relaxation. The functional is PBE-GGA.

spin magnetization	1.11	Bohr magnetons per cell
N(E_F)	3.02	states/eV/cell
mass density	5.455	g cm⁻³
formation energy from raw total energies	-6.4	eV per formula unit
uncorrected energy	-3.758	eV/atom

Cell lengths 4.7087, 4.7087, 4.0469 Å; angles 90.00, 90.00, 90.00 degrees
Closest atoms and distances in Å follow each position.
Space group P4/mmm (No. 123)
One atom of each set of equivalent atoms:
Cs 0.0000 0.0000 0.0000  8 F 3.10, 4 O 3.33
Ag 0.5000 0.5000 0.5000  2 O 2.02
O 0.5000 0.5000 0.0000  2 Ag 2.02
F 0.0000 0.5000 0.5000  2 Ag 2.35

Entry 3:
This record from Alexandria via LeMat-Bulk describes K4CaCr after structural relaxation. The functional is PBE-GGA.

spin magnetization	20.19	Bohr magnetons per cell
N(E_F)	16.61	states/eV/cell
mass density	1.308	g cm⁻³
uncorrected energy	-2.002	eV/atom
energy relative to the elements	4.0	eV/f.u.

Cell lengths 10.8061, 10.8061, 10.8061 Å; angles 90.00, 90.00, 90.00 degrees
Closest atoms and distances in Å follow each position.
Space group F-43m (No. 216)
One atom of each set of equivalent atoms:
K 0.1242 0.1242 0.3758  6 K 3.80-3.84
Ca 0.0000 0.0000 0.0000  12 K 4.48, 4 Cr 4.68
Cr 0.2500 0.2500 0.7500  12 K 4.48, 4 Ca 4.68

Entry 4:
This record from Alexandria via LeMat-Bulk describes TbTh2ScS4 after structural relaxation. The functional is PBE-GGA.

spin magnetization	0.00	Bohr magnetons per cell
N(E_F)	5.32	states/eV/cell
mass density	7.683	g cm⁻³
formation energy from raw total energies	-14.9	eV per formula unit
uncorrected energy	-7.148	eV/atom

Cell lengths 6.6605, 3.8841, 7.0223 Å; angles 90.00, 108.69, 90.00 degrees
Closest atoms and distances in Å follow each position.
Space group P2/m (No. 10)
One atom of each set of equivalent atoms:
Tb 0.0000 0.0000 0.0000  6 S 2.73
Th 0.0000 0.5000 0.5000  6 S 2.91
Th 0.5000 0.0000 0.5000  6 S 2.84-2.85
Sc 0.5000 0.5000 0.0000  6 S 2.65-2.66
S 0.2523 0.5000 0.2293  1 Sc 2.65, 2 Tb 2.73, 3 Th 2.85-2.91
S 0.2669 0.0000 0.7757  2 Sc 2.66, 1 Tb 2.73, 3 Th 2.84-2.91

Entry 5:
This record from Alexandria via LeMat-Bulk describes Np2ZnNi4As3 after structural relaxation. The functional is PBE-GGA.

spin magnetization	7.27	Bohr magnetons per cell
N(E_F)	22.38	states/eV/cell
mass density	10.369	g cm⁻³
uncorrected energy	-6.862	eV/atom
energy relative to the elements	-4.4	eV/f.u.

Cell lengths 4.0384, 4.0384, 9.8095 Å; angles 90.00, 90.00, 90.00 degrees
Closest atoms and distances in Å follow each position.
Space group P-4m2 (No. 115)
One atom of each set of equivalent atoms:
Np 0.0000 0.5000 0.2454  6 As 3.06-3.21, 8 Ni 3.10-3.14, 2 Zn 3.21
Zn 0.0000 0.0000 0.5000  4 Ni 2.40
Ni 0.0000 0.0000 0.0000  4 As 2.41
Ni 0.0000 0.5000 0.6316  3 As 2.31-2.40, 2 Zn 2.40
Ni 0.5000 0.5000 0.0000  4 As 2.41
As 0.0000 0.5000 0.8666  5 Ni 2.31-2.41
As 0.5000 0.5000 0.5000  4 Ni 2.40

Entry 6:
This record from Alexandria via LeMat-Bulk describes Sm4SnSb after structural relaxation. The functional is PBE-GGA.

spin magnetization	0.00	Bohr magnetons per cell
N(E_F)	11.80	states/eV/cell
mass density	7.384	g cm⁻³
formation energy from raw total energies	-2.8	eV per formula unit
uncorrected energy	-4.972	eV/atom

Cell lengths 7.8543, 5.5406, 8.7354 Å; angles 90.00, 95.07, 90.00 degrees
Closest atoms and distances in Å follow each position.
Space group C2/m (No. 12)
One atom of each set of equivalent atoms:
Sm 0.1262 0.0000 0.3621  3 Sn 3.07-3.21, 1 Sb 3.23, 3 Sm 3.25-3.36
Sm 0.1582 0.5000 0.1482  3 Sb 3.08-3.26, 3 Sm 3.36-3.43, 1 Sn 3.42
Sn 0.0000 0.5000 0.5000  8 Sm 3.07-3.42
Sb 0.0000 0.0000 0.0000  8 Sm 3.08-3.26

Entry 7:
This record from Alexandria via LeMat-Bulk describes PrTlTe2 after structural relaxation. The functional is PBE-GGA.

spin magnetization	0.00	Bohr magnetons per cell
N(E_F)	1.10	states/eV/cell
mass density	7.555	g cm⁻³
formation energy from raw total energies	-3.7	eV per formula unit
uncorrected energy	-4.287	eV/atom

Cell lengths 3.9948, 3.9948, 8.2703 Å; angles 90.00, 90.00, 90.00 degrees
Closest atoms and distances in Å follow each position.
Space group P4/mmm (No. 123)
One atom of each set of equivalent atoms:
Pr 0.0000 0.0000 0.0000  8 Te 3.36
Tl 0.0000 0.0000 0.5000  8 Te 3.65, 4 Tl 3.99
Te 0.5000 0.5000 0.2207  4 Pr 3.36, 4 Tl 3.65, 1 Te 3.65

Entry 8:
This record from Alexandria via LeMat-Bulk describes La6Nd after structural relaxation. The functional is PBE-GGA.

spin magnetization	0.00	Bohr magnetons per cell
N(E_F)	49.06	states/eV/cell
mass density	6.284	g cm⁻³
uncorrected energy	-4.800	eV/atom
energy relative to the elements	0.7	eV/f.u.

Cell lengths 15.6036, 15.6036, 3.6755 Å; angles 90.00, 90.00, 120.00 degrees
Closest atoms and distances in Å follow each position.
Space group R-3 (No. 148, hexagonal axes)
One atom of each set of equivalent atoms:
La 0.0346 0.8040 0.2334  1 Nd 3.50, 9 La 3.56-3.89
Nd 0.0000 0.0000 0.5000  6 La 3.50, 2 Nd 3.68

Entry 9:
This record from Alexandria via LeMat-Bulk describes TaSbTe2 after structural relaxation. The functional is PBE-GGA.

spin magnetization	0.00	Bohr magnetons per cell
N(E_F)	2.77	states/eV/cell
mass density	8.174	g cm⁻³
formation energy from raw total energies	0.3	eV per formula unit
uncorrected energy	-5.484	eV/atom

Cell lengths 3.2549, 3.2549, 10.6983 Å; angles 90.00, 90.00, 90.00 degrees
Closest atoms and distances in Å follow each position.
Space group P4mm (No. 99)
One atom of each set of equivalent atoms:
Ta 0.0000 0.0000 0.0000  4 Te 2.84, 4 Sb 3.08
Sb 0.5000 0.5000 0.8081  4 Ta 3.08, 4 Sb 3.25
Te 0.0000 0.0000 0.4722  4 Te 3.25
Te 0.5000 0.5000 0.1560  4 Ta 2.84

Entry 10:
This record from Alexandria via LeMat-Bulk describes PmNi2AsN after structural relaxation. The functional is PBE-GGA.

spin magnetization	0.00	Bohr magnetons per cell
N(E_F)	15.14	states/eV/cell
mass density	8.199	g cm⁻³
formation energy from raw total energies	-3.8	eV per formula unit
uncorrected energy	-6.614	eV/atom

Cell lengths 3.6065, 11.4177, 6.9118 Å; angles 90.00, 90.00, 90.00 degrees
Closest atoms and distances in Å follow each position.
Space group Cmcm (No. 63)
One atom of each set of equivalent atoms:
Pm 0.0000 0.0336 0.2500  4 N 2.53
Ni 0.0000 0.3344 0.0506  1 N 1.92
As 0.0000 0.2346 0.7500  6 Ni 2.37-2.40
N 0.0000 0.5000 0.0000  2 Ni 1.92